Computed, not measured: a relaxed structure of Pr4TlZn at the PBE level of DFT.

The space group is P4/mmm (No. 123) and the conventional cell measures 5.242, 5.242 and 7.482 Å, with angles of 90.00, 90.00 and 90.00 degrees. The distinct sites, in fractional coordinates, are Pr at (0.000, 0.500, 0.232), Tl at (0.000, 0.000, 0.500) and Zn at (0.500, 0.500, 0.000).

The calculation puts the calculated formation energy at -0.013 eV/atom. The calculation puts the energy at -3.8065 eV/atom.